The following is a DFT calculation (GGA-PBE) of a geometry-optimized Sc6GaPd2 structure.

Output
raw total energy: -6.27 eV/atom
crystal system: orthorhombic

a = 7.905 Å, b = 7.905 Å, c = 7.905 Å
α = 106.26°, β = 111.28°, γ = 110.92°
Sites, in units of the cell vectors:
Sc1 0.538 0.720 0.819
Sc2 0.462 0.280 0.181
Sc3 0.099 0.280 0.819
Sc4 0.901 0.720 0.181
Sc5 0.803 0.759 0.562
Sc6 0.197 0.241 0.438
Sc7 0.197 0.759 0.956
Sc8 0.803 0.241 0.044
Sc9 0.714 0.385 0.671
Sc10 0.286 0.615 0.329
Sc11 0.286 0.957 0.671
Sc12 0.714 0.043 0.329
Ga1 0.000 0.500 0.500
Ga2 0.000 0.000 0.000
Pd1 0.500 0.359 0.859
Pd2 0.500 0.641 0.141
Pd3 0.657 0.000 0.657
Pd4 0.343 0.000 0.343


The following is a DFT calculation (GGA-PBE) of a geometry-optimized ErFeSiH structure.

Output
raw total energy: -6.12 eV/atom
crystal system: tetragonal

a = 3.860 Å, b = 3.860 Å, c = 7.176 Å
α = 90.00°, β = 90.00°, γ = 90.00°
Each line ends with the local moment (μB).
Sites, in units of the cell vectors:
Er1 0.500 0.000 0.663  -0.02
Er2 0.000 0.500 0.337  -0.02
Fe1 0.500 0.500 0.000  0.63
Fe2 0.000 0.000 0.000  0.63
Si1 0.000 0.500 0.833  -0.03
Si2 0.500 0.000 0.167  -0.03
H1 0.000 0.000 0.500  0.00
H2 0.500 0.500 0.500  0.00


The following is a DFT calculation (GGA-PBE) of a geometry-optimized CaMgSb2 structure.

Output
raw total energy: -3.47 eV/atom
crystal system: tetragonal

a = 4.927 Å, b = 4.933 Å, c = 4.322 Å
α = 90.00°, β = 90.00°, γ = 90.00°
Sites, in units of the cell vectors:
Ca1 0.500 0.000 0.500
Mg1 0.000 0.500 0.500
Sb1 0.000 0.000 0.000
Sb2 0.500 0.500 0.000


The following is a DFT calculation (GGA-PBE) of a geometry-optimized CrTc2Ni structure.

Output
raw total energy: -8.92 eV/atom
crystal system: monoclinic
excess energy over the best structure of this formula in the dataset: 0.089 eV per atom

a = 4.549 Å, b = 4.549 Å, c = 4.517 Å
α = 80.02°, β = 80.02°, γ = 34.53°
Sites, in units of the cell vectors:
Cr1 0.504 0.504 0.488
Ni1 0.246 0.246 0.258
Tc1 0.996 0.996 0.011
Tc2 0.753 0.753 0.743